Entry from Alexandria via LeMat-Bulk: an optimized crystal structure of CrNO2 (GGA+U).

CIF file:
```
data_CrNO2
_chemical_formula_sum 'Cr3 N3 O6'
_cell_length_a 3.1007
_cell_length_b 3.1007
_cell_length_c 16.7304
_cell_angle_alpha 90.00
_cell_angle_beta 90.00
_cell_angle_gamma 120.00
_space_group_name_H-M_alt 'R -3 m'
_space_group_IT_number 166
_space_group_name_Hall '-R 3 2"'
loop_
_atom_site_label
_atom_site_fract_x
_atom_site_fract_y
_atom_site_fract_z
Cr1 0.0000 0.0000 0.0000
N1 0.0000 0.0000 0.5000
O1 0.0000 0.0000 0.3914
```

## Properties
The energy is -6.4477 eV/atom. Its density of states at the Fermi level is 0.1 states/eV per cell.